(1)
DFT (GGA-PBE) results for LiTa2CuPt after structural relaxation.

Cell: 4.657 3.981 4.657 Å, 90.00 90.00 90.00°
Fractional coordinates of all 5 atoms:
Li (0.000, 0.500, 0.000)
Pt (0.500, 0.500, 0.500)
Cu (0.000, 0.000, 0.000)
Ta (0.000, 0.000, 0.500)
Ta (0.500, 0.000, 0.000)

Summary:
Fermi-level density of states = 1.142 states/eV per atom
Space group = P4/mmm, No. 123
Mass density = 12.1 Mg/m³
VASP energy = -31.91 eV per formula unit
E_form = 0.769 eV per atom

(2)
DFT (GGA-PBE) results for LiTbCuPt after structural relaxation.

Cell: 4.696 4.696 4.696 Å, 60.00 60.00 60.00°
Fractional coordinates of all 4 atoms:
Li (0.500, 0.500, 0.500)
Cu (0.750, 0.750, 0.750)
Pt (0.250, 0.250, 0.250)
Tb (0.000, 0.000, 0.000)

Summary:
Fermi-level density of states = 0.750 states/eV per atom
Space group = F-43m, No. 216
Mass density = 9.6 Mg/m³
VASP energy = -18.80 eV per formula unit
E_form = -0.531 eV per atom

(3)
DFT (GGA-PBE) results for LiTb2CuPt2 after structural relaxation.

Cell: 5.690 5.748 8.229 Å, 110.44 110.23 90.00°
Fractional coordinates of all 12 atoms:
Tb (0.084, 0.331, 0.662)
Pt (0.876, 0.125, 0.250)
Li (0.000, 0.250, 0.000)
Cu (0.500, 0.750, 0.000)
Tb (0.578, 0.831, 0.662)
Tb (0.916, 0.669, 0.338)
Li (0.000, 0.750, 0.000)
Pt (0.124, 0.875, 0.750)
Pt (0.627, 0.375, 0.750)
Pt (0.373, 0.625, 0.250)
Cu (0.500, 0.250, 0.000)
Tb (0.422, 0.169, 0.338)

Summary:
Fermi-level density of states = 0.396 states/eV per atom
Space group = Ibam, No. 72
Mass density = 11.0 Mg/m³
VASP energy = -32.52 eV per formula unit
E_form = -0.862 eV per atom

(4)
DFT (GGA-PBE) results for LiTiCuPt after structural relaxation.

Cell: 4.307 4.307 4.307 Å, 60.00 60.00 60.00°
Fractional coordinates of all 4 atoms:
Ti (0.500, 0.500, 0.500)
Pt (0.750, 0.750, 0.750)
Cu (0.250, 0.250, 0.250)
Li (0.000, 0.000, 0.000)

Summary:
Fermi-level density of states = 0.608 states/eV per atom
Space group = F-43m, No. 216
Mass density = 9.2 Mg/m³
VASP energy = -21.82 eV per formula unit
E_form = -0.468 eV per atom

(5)
DFT (GGA-PBE) results for LiYCuPt after structural relaxation.

Cell: 4.689 4.689 4.689 Å, 60.00 60.00 60.00°
Fractional coordinates of all 4 atoms:
Cu (0.250, 0.250, 0.250)
Y (0.500, 0.500, 0.500)
Li (0.000, 0.000, 0.000)
Pt (0.750, 0.750, 0.750)

Summary:
Fermi-level density of states = 0.675 states/eV per atom
Space group = F-43m, No. 216
Mass density = 8.1 Mg/m³
VASP energy = -20.65 eV per formula unit
E_form = -0.533 eV per atom

(6)
DFT (GGA-PBE) results for LiY2CuPt2 after structural relaxation.

Cell: 5.713 5.743 8.203 Å, 110.49 110.38 90.00°
Fractional coordinates of all 12 atoms:
Li (0.000, 0.250, 0.000)
Pt (0.626, 0.376, 0.752)
Cu (0.500, 0.750, 0.000)
Y (0.421, 0.170, 0.340)
Y (0.579, 0.830, 0.660)
Li (0.000, 0.750, 0.000)
Pt (0.126, 0.876, 0.752)
Y (0.081, 0.330, 0.660)
Pt (0.374, 0.624, 0.248)
Pt (0.874, 0.124, 0.248)
Cu (0.500, 0.250, 0.000)
Y (0.919, 0.670, 0.340)

Summary:
Fermi-level density of states = 0.417 states/eV per atom
Space group = Ibam, No. 72
Mass density = 9.1 Mg/m³
VASP energy = -36.16 eV per formula unit
E_form = -0.857 eV per atom

(7)
DFT (GGA-PBE) results for LiZnCuPt after structural relaxation.

Cell: 4.268 4.268 4.268 Å, 60.00 60.00 60.00°
Fractional coordinates of all 4 atoms:
Zn (0.000, 0.000, 0.000)
Pt (0.750, 0.750, 0.750)
Li (0.250, 0.250, 0.250)
Cu (0.500, 0.500, 0.500)

Summary:
Fermi-level density of states = 0.373 states/eV per atom
Space group = F-43m, No. 216
Mass density = 10.0 Mg/m³
VASP energy = -15.01 eV per formula unit
E_form = -0.421 eV per atom

(8)
DFT (GGA-PBE) results for Li2ZnCuPt after structural relaxation.

Cell: 4.330 4.402 4.330 Å, 90.00 90.00 90.00°
Fractional coordinates of all 5 atoms:
Cu (0.000, 0.500, 0.000)
Li (0.000, 0.000, 0.500)
Pt (0.500, 0.500, 0.500)
Zn (0.000, 0.000, 0.000)
Li (0.500, 0.000, 0.000)

Summary:
Fermi-level density of states = 0.451 states/eV per atom
Space group = P4/mmm, No. 123
Mass density = 6.8 Mg/m³
VASP energy = -13.21 eV per formula unit
E_form = 0.407 eV per atom

Q: What is the E_form in the seventh record?
A: -0.421 eV per atom